! GGA-PBE SrPrHo2, optimized geometry; values from VASP
! Crystal system: tetragonal
! ΔE_f in eV/atom: 0.19
! E above lowest polymorph in meV per atom: 67
&SYSTEM
  ibrav = 0, nat = 4, ntyp = 3
/
ATOMIC_SPECIES
Pr 140.91 Pr.upf
Sr 87.62 Sr.upf
Ho 164.93 Ho.upf
CELL_PARAMETERS angstrom
5.2167 0.0000 0.0000
0.0000 5.2540 0.0000
0.0000 0.0000 5.2540
ATOMIC_POSITIONS angstrom
Pr 2.6083 0.0000 0.0000
Sr 2.6083 2.6270 2.6270
Ho 0.0000 0.0000 2.6270
Ho 0.0000 2.6270 0.0000

---

! GGA-PBE SrPrHo, optimized geometry; values from VASP
! Crystal system: tetragonal
! ΔE_f in eV/atom: 0.11
! E above lowest polymorph in meV per atom: 0
&SYSTEM
  ibrav = 0, nat = 3, ntyp = 3
/
ATOMIC_SPECIES
Pr 140.91 Pr.upf
Sr 87.62 Sr.upf
Ho 164.93 Ho.upf
CELL_PARAMETERS angstrom
-3.4574 1.5361 0.1589
-1.2581 -3.0276 1.8946
4.2778 4.3410 5.9937
ATOMIC_POSITIONS angstrom
Pr -1.6638 0.5537 3.5642
Sr -0.4451 2.8357 8.0203
Ho 1.2334 2.3096 4.5099

---

What did the first record say?
! GGA-PBE SrPrHo2, optimized geometry; values from VASP
! Crystal system: tetragonal
! ΔE_f in eV/atom: 0.19
! E above lowest polymorph in meV per atom: 67
&SYSTEM
  ibrav = 0, nat = 4, ntyp = 3
/
ATOMIC_SPECIES
Pr 140.91 Pr.upf
Sr 87.62 Sr.upf
Ho 164.93 Ho.upf
CELL_PARAMETERS angstrom
5.2167 0.0000 0.0000
0.0000 5.2540 0.0000
0.0000 0.0000 5.2540
ATOMIC_POSITIONS angstrom
Pr 2.6083 0.0000 0.0000
Sr 2.6083 2.6270 2.6270
Ho 0.0000 0.0000 2.6270
Ho 0.0000 2.6270 0.0000

---

Q: The highest E above lowest polymorph belongs to which entry?
A: SrPrHo2

---

Q: Which of these has the lowest E above lowest polymorph?
A: SrPrHo

---

Repeat the second record exactly.
! GGA-PBE SrPrHo, optimized geometry; values from VASP
! Crystal system: tetragonal
! ΔE_f in eV/atom: 0.11
! E above lowest polymorph in meV per atom: 0
&SYSTEM
  ibrav = 0, nat = 3, ntyp = 3
/
ATOMIC_SPECIES
Pr 140.91 Pr.upf
Sr 87.62 Sr.upf
Ho 164.93 Ho.upf
CELL_PARAMETERS angstrom
-3.4574 1.5361 0.1589
-1.2581 -3.0276 1.8946
4.2778 4.3410 5.9937
ATOMIC_POSITIONS angstrom
Pr -1.6638 0.5537 3.5642
Sr -0.4451 2.8357 8.0203
Ho 1.2334 2.3096 4.5099